Computed, not measured: crystalline PaTl2HgO4 at its relaxed geometry at the GGA-PBE level of DFT.

Formation energy without anion corrections: -1.4613 eV/atom
Crystal system: tetragonal

CIF file:
```
data_PaTl2HgO4
_space_group_name_H-M_alt 'I -4'
_space_group_IT_number 82
_cell_length_a 6.6260
_cell_length_b 6.6260
_cell_length_c 7.5219
_cell_angle_alpha 90.00
_cell_angle_beta 90.00
_cell_angle_gamma 90.00
loop_
_space_group_symop_operation_xyz
'x,y,z'
'y,-x,-z'
'-x,-y,z'
'-y,x,-z'
'x+1/2,y+1/2,z+1/2'
'y+1/2,-x+1/2,-z+1/2'
'-x+1/2,-y+1/2,z+1/2'
'-y+1/2,x+1/2,-z+1/2'
loop_
_atom_site_label
_atom_site_type_symbol
_atom_site_fract_x
_atom_site_fract_y
_atom_site_fract_z
Pa1 Pa 0.0000 0.0000 0.0000
Tl1 Tl 0.0000 0.0000 0.5000
Tl2 Tl 0.0000 0.5000 0.7500
Hg1 Hg 0.0000 0.5000 0.2500
O1 O 0.1480 0.2674 0.0638
```